Material: Rb4SmDy3Se8
Method: DFT, PBE-GGA
State: optimized geometry

abc: 8.527 9.393 8.527
angles: 116.99 120.00 90.00
Sites, in units of the cell vectors:
Rb: 0.500 0.000 0.000
Rb: 0.500 0.000 0.500
Rb: 0.000 0.000 0.000
Rb: 0.000 0.000 0.500
Sm: 0.000 0.500 0.000
Dy: 0.500 0.500 0.000
Dy: 0.500 0.500 0.500
Dy: 0.000 0.500 0.500
Se: 0.234 0.697 0.962
Se: 0.235 0.697 0.469
Se: 0.268 0.305 0.537
Se: 0.728 0.697 0.962
Se: 0.272 0.303 0.038
Se: 0.732 0.695 0.463
Se: 0.765 0.303 0.531
Se: 0.766 0.303 0.038

Summary:
- ΔE_f (raw) (eV/atom) = -1.7383
- total magnetic moment (μB/cell) = 0.0
- total energy (eV per atom) = -4.880